First-principles (PBE) data for a geometry-optimized NiBr structure, as listed in Alexandria via LeMat-Bulk.

Formation energy (no corrections): 1.13 eV per formula unit
Uncorrected energy: -6.33 eV/f.u.
D(E_F): 1.78 states/eV/cell

Cell lengths 3.2566, 3.2566, 3.2566 Å; angles 90.00, 90.00, 90.00 degrees
Space group Pm-3m (No. 221)
Inequivalent atoms, fractional coordinates:
Ni: 0.0000 0.0000 0.0000 x1
Br: 0.5000 0.5000 0.5000 x1

First-principles (PBE) data for a geometry-optimized Cs3ZrU3Te8 structure, as listed in Alexandria via LeMat-Bulk.

Formation energy (no corrections): -12.93 eV per formula unit
Uncorrected energy: -83.03 eV/f.u.
D(E_F): 59.29 states/eV/cell

Cell lengths 8.7726, 8.7726, 27.7734 Å; angles 90.00, 90.00, 120.00 degrees
Space group R-3m (No. 166, hexagonal axes)
Inequivalent atoms, fractional coordinates:
Cs: 0.0000 0.5000 0.0000 x9
Zr: 0.0000 0.0000 0.5000 x3
U: 0.0000 0.5000 0.5000 x9
Te: 0.0000 0.0000 0.2319 x6
Te: 0.0114 0.5057 0.2292 x18

First-principles (PBE) data for a geometry-optimized ZrCuRe2O structure, as listed in Alexandria via LeMat-Bulk.

Formation energy (no corrections): 7.95 eV per formula unit
Uncorrected energy: -34.55 eV/f.u.
D(E_F): 5.53 states/eV/cell

Cell lengths 5.1448, 5.1448, 3.9868 Å; angles 90.00, 90.00, 90.00 degrees
Space group P4/mmm (No. 123)
Inequivalent atoms, fractional coordinates:
Zr: 0.0000 0.0000 0.0000 x1
Cu: 0.5000 0.5000 0.5000 x1
Re: 0.0000 0.5000 0.0000 x2
O: 0.0000 0.0000 0.5000 x1

First-principles (PBE) data for a geometry-optimized PrSmZnOs structure, as listed in Alexandria via LeMat-Bulk.

Uncorrected energy: -22.45 eV/f.u.
Formation energy from the elements: -0.11 eV per atom
D(E_F): 19.07 states/eV/cell

Cell lengths 7.1669, 7.1669, 7.1669 Å; angles 90.00, 90.00, 90.00 degrees
Space group F-43m (No. 216)
Inequivalent atoms, fractional coordinates:
Pr: 0.0000 0.0000 0.0000 x4
Sm: 0.0000 0.0000 0.5000 x4
Zn: 0.2500 0.2500 0.2500 x4
Os: 0.2500 0.2500 0.7500 x4

First-principles (PBE) data for a geometry-optimized Li2Pb2I structure, as listed in Alexandria via LeMat-Bulk.

Formation energy (no corrections): -1.12 eV per formula unit
Uncorrected energy: -13.92 eV/f.u.
D(E_F): 5.45 states/eV/cell

Cell lengths 8.3668, 8.3668, 3.9000 Å; angles 90.00, 90.00, 90.00 degrees
Space group P4/mbm (No. 127)
Inequivalent atoms, fractional coordinates:
Li: 0.1775 0.3225 0.0000 x4
Pb: 0.1267 0.6267 0.5000 x4
I: 0.0000 0.0000 0.0000 x2

First-principles (PBE) data for a geometry-optimized LiSbI2N structure, as listed in Alexandria via LeMat-Bulk.

Formation energy (no corrections): 5.26 eV per formula unit
Uncorrected energy: -12.20 eV/f.u.
D(E_F): 3.10 states/eV/cell

Cell lengths 5.5171, 5.5171, 5.0742 Å; angles 90.00, 90.00, 90.00 degrees
Space group P4/mmm (No. 123)
Inequivalent atoms, fractional coordinates:
Li: 0.0000 0.0000 0.0000 x1
Sb: 0.0000 0.0000 0.5000 x1
I: 0.0000 0.5000 0.0000 x2
N: 0.5000 0.5000 0.5000 x1

First-principles (PBE) data for a geometry-optimized LaZrSi2Sn structure, as listed in Alexandria via LeMat-Bulk.

Formation energy (no corrections): 5.28 eV per formula unit
Uncorrected energy: -23.05 eV/f.u.
D(E_F): 5.85 states/eV/cell

Cell lengths 5.0961, 5.0961, 5.7862 Å; angles 90.00, 90.00, 90.00 degrees
Space group P4/mmm (No. 123)
Inequivalent atoms, fractional coordinates:
La: 0.0000 0.0000 0.0000 x1
Zr: 0.5000 0.5000 0.0000 x1
Si: 0.0000 0.5000 0.5000 x2
Sn: 0.0000 0.0000 0.5000 x1

First-principles (PBE) data for a geometry-optimized La8Co3PtI4 structure, as listed in Alexandria via LeMat-Bulk.

Formation energy (no corrections): -13.14 eV per formula unit
Uncorrected energy: -86.12 eV/f.u.
D(E_F): 13.84 states/eV/cell

Cell lengths 14.5086, 8.3669, 9.5349 Å; angles 90.00, 120.36, 90.00 degrees
Space group C2/m (No. 12)
Inequivalent atoms, fractional coordinates:
La: 0.0251 0.2401 0.3172 x8
La: 0.2284 0.0000 0.6834 x4
La: 0.2341 0.5000 0.6823 x4
Co: 0.0000 0.0000 0.5000 x2
Co: 0.2500 0.2500 0.5000 x4
Pt: 0.0000 0.5000 0.5000 x2
I: 0.0000 0.0000 0.0000 x2
I: 0.0000 0.5000 0.0000 x2
I: 0.2500 0.2500 0.0000 x4

First-principles (PBE) data for a geometry-optimized LaCe2Sm3As6 structure, as listed in Alexandria via LeMat-Bulk.

Uncorrected energy: -76.91 eV/f.u.
Formation energy from the elements: -1.50 eV per atom
D(E_F): 23.47 states/eV/cell

Cell lengths 7.3519, 12.7322, 7.3423 Å; angles 90.00, 109.50, 90.00 degrees
Space group C2/m (No. 12)
Inequivalent atoms, fractional coordinates:
La: 0.0000 0.0000 0.0000 x2
Ce: 0.0000 0.3329 0.0000 x4
Sm: 0.0000 0.1654 0.5000 x4
Sm: 0.0000 0.5000 0.5000 x2
As: 0.2440 0.5000 0.2507 x4
As: 0.2465 0.3303 0.7492 x8

First-principles (PBE) data for a geometry-optimized CrFePb2 structure, as listed in Alexandria via LeMat-Bulk.

Uncorrected energy: -22.25 eV/f.u.
Formation energy from the elements: 0.81 eV per atom
D(E_F): 7.27 states/eV/cell

Cell lengths 7.6360, 7.6360, 6.2185 Å; angles 90.00, 90.00, 90.00 degrees
Space group I-42d (No. 122)
Inequivalent atoms, fractional coordinates:
Cr: 0.0000 0.0000 0.0000 x4
Fe: 0.0000 0.0000 0.5000 x4
Pb: 0.2327 0.2500 0.6250 x8

First-principles (PBE) data for a geometry-optimized Er6SnTe3As2 structure, as listed in Alexandria via LeMat-Bulk.

Formation energy (no corrections): -15.56 eV per formula unit
Uncorrected energy: -65.67 eV/f.u.
D(E_F): 8.53 states/eV/cell

Cell lengths 18.6340, 4.2291, 8.5857 Å; angles 90.00, 104.13, 90.00 degrees
Space group C2/m (No. 12)
Inequivalent atoms, fractional coordinates:
Er: 0.0087 0.0000 0.2465 x4
Er: 0.1652 0.5000 0.1073 x4
Er: 0.1748 0.5000 0.5671 x4
Sn: 0.0000 0.5000 0.0000 x2
Te: 0.0000 0.5000 0.5000 x2
Te: 0.1653 0.0000 0.8325 x4
As: 0.1680 0.0000 0.3370 x4

First-principles (PBE) data for a geometry-optimized Sr2Ti6N2O11 structure, as listed in Alexandria via LeMat-Bulk.

Formation energy (no corrections): -58.53 eV per formula unit
Uncorrected energy: -180.46 eV/f.u.
D(E_F): 0.00 states/eV/cell

Cell lengths 15.2421, 3.8293, 9.3341 Å; angles 90.00, 97.97, 90.00 degrees
Space group Cm (No. 8)
Inequivalent atoms, fractional coordinates:
Sr: 0.0000 0.0000 0.0000 x2
Sr: 0.0963 0.0000 0.5452 x2
Ti: 0.1625 0.5000 0.8708 x2
Ti: 0.2066 0.5000 0.2256 x2
Ti: 0.2902 0.5000 0.5619 x2
Ti: 0.3105 0.0000 0.0207 x2
Ti: 0.3769 0.0000 0.3487 x2
Ti: 0.4314 0.0000 0.6940 x2
N: 0.0466 0.5000 0.7891 x2
N: 0.4006 0.5000 0.6776 x2
O: 0.1128 0.5000 0.0802 x2
O: 0.1616 0.5000 0.3926 x2
O: 0.1892 0.0000 0.9033 x2
O: 0.2047 0.5000 0.6870 x2
O: 0.2455 0.0000 0.2156 x2
O: 0.2884 0.5000 0.0345 x2
O: 0.2968 0.0000 0.5302 x2
O: 0.3418 0.5000 0.3595 x2
O: 0.3843 0.0000 0.8873 x2
O: 0.4178 0.0000 0.1735 x2
O: 0.4745 0.0000 0.4877 x2